No. 1
DFT (PBE-GGA) results for TbU2RuC4 after structural relaxation.

Geometry as CIF:
```
data_TbU2RuC4
_chemical_formula_sum 'Tb4 U8 Ru4 C16'
_symmetry_space_group_name_H-M 'C m c m'
_symmetry_Int_Tables_number 63
_symmetry_space_group_name_Hall '-C 2c 2'
_cell_length_a 3.5153
_cell_length_b 11.6137
_cell_length_c 11.5217
_cell_angle_alpha 90.00
_cell_angle_beta 90.00
_cell_angle_gamma 90.00
loop_
_atom_site_label
_atom_site_type_symbol
_atom_site_fract_x
_atom_site_fract_y
_atom_site_fract_z
Tb1 Tb 0.0000 0.1101 0.2500
U1 U 0.0000 0.3705 0.0488
Ru1 Ru 0.0000 0.1515 0.7500
C1 C 0.0000 0.0000 0.0000
C2 C 0.0000 0.2630 0.6157
C3 C 0.0000 0.4492 0.2500
```

Formation energy: -0.050 eV per atom
Calculated volume: 470.37 Å³ per cell

***

No. 2
DFT (PBE-GGA) results for Tc2RuC after structural relaxation.

Geometry as CIF:
```
data_Tc2RuC
_chemical_formula_sum 'Tc6 Ru3 C3'
_symmetry_space_group_name_H-M 'R -3 m'
_symmetry_Int_Tables_number 166
_symmetry_space_group_name_Hall '-R 3 2"'
_cell_length_a 2.8156
_cell_length_b 2.8156
_cell_length_c 21.5214
_cell_angle_alpha 90.00
_cell_angle_beta 90.00
_cell_angle_gamma 120.00
loop_
_atom_site_label
_atom_site_type_symbol
_atom_site_fract_x
_atom_site_fract_y
_atom_site_fract_z
Tc1 Tc 0.0000 0.0000 0.2294
Ru1 Ru 0.0000 0.0000 0.0000
C1 C 0.0000 0.0000 0.5000
```

Formation energy: 0.263 eV per atom
Calculated volume: 147.75 Å³ per cell

***

No. 3
DFT (PBE-GGA) results for TcRu2C after structural relaxation.

Geometry as CIF:
```
data_TcRu2C
_chemical_formula_sum 'Tc4 Ru8 C4'
_symmetry_space_group_name_H-M 'I -4 2 d'
_symmetry_Int_Tables_number 122
_symmetry_space_group_name_Hall 'I -4 2bw'
_cell_length_a 5.0582
_cell_length_b 5.0582
_cell_length_c 9.7619
_cell_angle_alpha 90.00
_cell_angle_beta 90.00
_cell_angle_gamma 90.00
loop_
_atom_site_label
_atom_site_type_symbol
_atom_site_fract_x
_atom_site_fract_y
_atom_site_fract_z
Tc1 Tc 0.0000 0.0000 0.0000
Ru1 Ru 0.1765 0.2500 0.6250
C1 C 0.0000 0.0000 0.5000
```

Formation energy: 0.739 eV per atom
Calculated volume: 249.76 Å³ per cell

***

No. 4
DFT (PBE-GGA) results for TcRu3C after structural relaxation.

Geometry as CIF:
```
data_TcRu3C
_chemical_formula_sum 'Tc1 Ru3 C1'
_symmetry_space_group_name_H-M 'P m -3 m'
_symmetry_Int_Tables_number 221
_symmetry_space_group_name_Hall '-P 4 2 3'
_cell_length_a 4.6225
_cell_length_b 4.6225
_cell_length_c 4.6225
_cell_angle_alpha 90.00
_cell_angle_beta 90.00
_cell_angle_gamma 90.00
loop_
_atom_site_label
_atom_site_type_symbol
_atom_site_fract_x
_atom_site_fract_y
_atom_site_fract_z
Tc1 Tc 0.0000 0.0000 0.0000
Ru1 Ru 0.0000 0.0000 0.5000
C1 C 0.5000 0.5000 0.5000
```

Energy above the lowest structure with this stoichiometry: 12.76 eV/f.u.
Formation energy: 2.941 eV per atom
Calculated volume: 98.77 Å³ per cell